1.
# As2AuSe (GGA-PBE, relaxed)
# Mass density in g/cm³: 7.5
# Total magnetization in μB per formula unit: 0.00
# Total DFT energy (no corrections) in eV/atom: -3.801
# Raw formation energy in eV per atom: 0.214
data_As2AuSe
_cell_length_a 7.864
_cell_length_b 7.864
_cell_length_c 7.864
_cell_angle_alpha 154.22
_cell_angle_beta 153.57
_cell_angle_gamma 37.25
_space_group_name_H-M_alt 'P 1'
_space_group_IT_number 1
_space_group_name_Hall 'P 1'
loop_
_atom_site_label
_atom_site_type_symbol
_atom_site_fract_x
_atom_site_fract_y
_atom_site_fract_z
As1 As 0.000 0.000 0.000
As2 As 0.835 0.335 0.500
Au1 Au 0.283 0.783 0.500
Se1 Se 0.568 0.568 0.000

---

2.
# AsAuSe (GGA-PBE, relaxed)
# Mass density in g/cm³: 9.5
# Total magnetization in μB per formula unit: 0.00
# Total DFT energy (no corrections) in eV/atom: -3.588
# Raw formation energy in eV per atom: 0.216
data_AsAuSe
_cell_length_a 5.060
_cell_length_b 5.060
_cell_length_c 2.769
_cell_angle_alpha 90.00
_cell_angle_beta 90.00
_cell_angle_gamma 120.00
_space_group_name_H-M_alt 'P 1'
_space_group_IT_number 1
_space_group_name_Hall 'P 1'
loop_
_atom_site_label
_atom_site_type_symbol
_atom_site_fract_x
_atom_site_fract_y
_atom_site_fract_z
As1 As 0.000 0.000 0.000
Au1 Au 0.667 0.333 0.000
Se1 Se 0.333 0.667 0.000

---

3.
# AsAuSe (GGA-PBE, relaxed)
# Mass density in g/cm³: 9.7
# Total magnetization in μB per formula unit: 0.00
# Total DFT energy (no corrections) in eV/atom: -3.431
# Raw formation energy in eV per atom: 0.373
data_AsAuSe
_cell_length_a 5.696
_cell_length_b 5.696
_cell_length_c 5.696
_cell_angle_alpha 145.19
_cell_angle_beta 145.19
_cell_angle_gamma 50.05
_space_group_name_H-M_alt 'P 1'
_space_group_IT_number 1
_space_group_name_Hall 'P 1'
loop_
_atom_site_label
_atom_site_type_symbol
_atom_site_fract_x
_atom_site_fract_y
_atom_site_fract_z
As1 As 0.000 0.000 0.000
Au1 Au 0.341 0.341 0.000
Se1 Se 0.642 0.642 0.000

---

4.
# AsAu2Se (GGA-PBE, relaxed)
# Mass density in g/cm³: 11.7
# Total magnetization in μB per formula unit: 0.00
# Total DFT energy (no corrections) in eV/atom: -3.380
# Raw formation energy in eV per atom: 0.293
data_AsAu2Se
_cell_length_a 3.517
_cell_length_b 4.428
_cell_length_c 4.985
_cell_angle_alpha 90.00
_cell_angle_beta 90.00
_cell_angle_gamma 90.00
_space_group_name_H-M_alt 'P 1'
_space_group_IT_number 1
_space_group_name_Hall 'P 1'
loop_
_atom_site_label
_atom_site_type_symbol
_atom_site_fract_x
_atom_site_fract_y
_atom_site_fract_z
As1 As 0.000 0.000 0.000
Au1 Au 0.000 0.500 0.500
Au2 Au 0.500 0.000 0.500
Se1 Se 0.500 0.500 0.000

---

5.
# AsAuSe (GGA-PBE, relaxed)
# Mass density in g/cm³: 8.6
# Total magnetization in μB per formula unit: 0.00
# Total DFT energy (no corrections) in eV/atom: -3.495
# Raw formation energy in eV per atom: 0.309
data_AsAuSe
_cell_length_a 4.573
_cell_length_b 4.573
_cell_length_c 4.573
_cell_angle_alpha 60.00
_cell_angle_beta 60.00
_cell_angle_gamma 60.00
_space_group_name_H-M_alt 'P 1'
_space_group_IT_number 1
_space_group_name_Hall 'P 1'
loop_
_atom_site_label
_atom_site_type_symbol
_atom_site_fract_x
_atom_site_fract_y
_atom_site_fract_z
As1 As 0.000 0.000 0.000
Au1 Au 0.250 0.250 0.250
Se1 Se 0.500 0.500 0.500

---

6.
# As2AuSe (GGA-PBE, relaxed)
# Mass density in g/cm³: 8.3
# Total magnetization in μB per formula unit: 0.00
# Total DFT energy (no corrections) in eV/atom: -3.620
# Raw formation energy in eV per atom: 0.396
data_As2AuSe
_cell_length_a 5.308
_cell_length_b 5.308
_cell_length_c 5.308
_cell_angle_alpha 140.94
_cell_angle_beta 110.91
_cell_angle_gamma 82.34
_space_group_name_H-M_alt 'P 1'
_space_group_IT_number 1
_space_group_name_Hall 'P 1'
loop_
_atom_site_label
_atom_site_type_symbol
_atom_site_fract_x
_atom_site_fract_y
_atom_site_fract_z
As1 As 0.249 0.249 0.000
As2 As 0.751 0.751 0.000
Au1 Au 0.000 0.500 0.500
Se1 Se 0.500 0.000 0.500

---

7.
# As2AuSe (GGA-PBE, relaxed)
# Mass density in g/cm³: 8.5
# Total magnetization in μB per formula unit: 0.00
# Total DFT energy (no corrections) in eV/atom: -3.596
# Raw formation energy in eV per atom: 0.420
data_As2AuSe
_cell_length_a 10.898
_cell_length_b 10.898
_cell_length_c 10.898
_cell_angle_alpha 15.78
_cell_angle_beta 15.78
_cell_angle_gamma 15.78
_space_group_name_H-M_alt 'P 1'
_space_group_IT_number 1
_space_group_name_Hall 'P 1'
loop_
_atom_site_label
_atom_site_type_symbol
_atom_site_fract_x
_atom_site_fract_y
_atom_site_fract_z
As1 As 0.235 0.235 0.235
As2 As 0.765 0.765 0.765
Au1 Au 0.500 0.500 0.500
Se1 Se 0.000 0.000 0.000

---

8.
# As2AuSe (GGA-PBE, relaxed)
# Mass density in g/cm³: 8.9
# Total magnetization in μB per formula unit: 0.00
# Total DFT energy (no corrections) in eV/atom: -3.639
# Raw formation energy in eV per atom: 0.376
data_As2AuSe
_cell_length_a 2.853
_cell_length_b 2.853
_cell_length_c 10.092
_cell_angle_alpha 90.00
_cell_angle_beta 90.00
_cell_angle_gamma 104.90
_space_group_name_H-M_alt 'P 1'
_space_group_IT_number 1
_space_group_name_Hall 'P 1'
loop_
_atom_site_label
_atom_site_type_symbol
_atom_site_fract_x
_atom_site_fract_y
_atom_site_fract_z
As1 As 0.000 0.000 0.000
As2 As 0.500 0.500 0.224
Au1 Au 0.000 0.000 0.461
Se1 Se 0.500 0.500 0.720

---

9.
# As2AuSe (GGA-PBE, relaxed)
# Mass density in g/cm³: 8.3
# Total magnetization in μB per formula unit: 0.00
# Total DFT energy (no corrections) in eV/atom: -3.583
# Raw formation energy in eV per atom: 0.432
data_As2AuSe
_cell_length_a 6.547
_cell_length_b 6.547
_cell_length_c 6.547
_cell_angle_alpha 146.39
_cell_angle_beta 146.39
_cell_angle_gamma 48.27
_space_group_name_H-M_alt 'P 1'
_space_group_IT_number 1
_space_group_name_Hall 'P 1'
loop_
_atom_site_label
_atom_site_type_symbol
_atom_site_fract_x
_atom_site_fract_y
_atom_site_fract_z
As1 As 0.250 0.750 0.500
As2 As 0.750 0.250 0.500
Au1 Au 0.000 0.000 0.000
Se1 Se 0.500 0.500 0.000

---

10.
# As2AuSe (GGA-PBE, relaxed)
# Mass density in g/cm³: 7.9
# Total magnetization in μB per formula unit: 0.00
# Total DFT energy (no corrections) in eV/atom: -3.890
# Raw formation energy in eV per atom: 0.125
data_As2AuSe
_cell_length_a 6.324
_cell_length_b 6.324
_cell_length_c 4.211
_cell_angle_alpha 95.99
_cell_angle_beta 95.99
_cell_angle_gamma 32.11
_space_group_name_H-M_alt 'P 1'
_space_group_IT_number 1
_space_group_name_Hall 'P 1'
loop_
_atom_site_label
_atom_site_type_symbol
_atom_site_fract_x
_atom_site_fract_y
_atom_site_fract_z
As1 As 0.000 0.000 0.000
As2 As 0.661 0.661 0.251
Au1 Au 0.189 0.189 0.754
Se1 Se 0.396 0.396 0.634

---

11.
# As2AuSe (GGA-PBE, relaxed)
# Mass density in g/cm³: 9.0
# Total magnetization in μB per formula unit: 0.00
# Total DFT energy (no corrections) in eV/atom: -3.593
# Raw formation energy in eV per atom: 0.423
data_As2AuSe
_cell_length_a 3.386
_cell_length_b 4.512
_cell_length_c 5.163
_cell_angle_alpha 90.00
_cell_angle_beta 90.00
_cell_angle_gamma 90.00
_space_group_name_H-M_alt 'P 1'
_space_group_IT_number 1
_space_group_name_Hall 'P 1'
loop_
_atom_site_label
_atom_site_type_symbol
_atom_site_fract_x
_atom_site_fract_y
_atom_site_fract_z
As1 As 0.000 0.000 0.000
As2 As 0.500 0.000 0.500
Au1 Au 0.000 0.500 0.500
Se1 Se 0.500 0.500 0.000

---

12.
# AsAu2Se (GGA-PBE, relaxed)
# Mass density in g/cm³: 11.2
# Total magnetization in μB per formula unit: 0.00
# Total DFT energy (no corrections) in eV/atom: -3.611
# Raw formation energy in eV per atom: 0.062
data_AsAu2Se
_cell_length_a 2.821
_cell_length_b 3.739
_cell_length_c 7.789
_cell_angle_alpha 90.00
_cell_angle_beta 99.95
_cell_angle_gamma 90.00
_space_group_name_H-M_alt 'P 1'
_space_group_IT_number 1
_space_group_name_Hall 'P 1'
loop_
_atom_site_label
_atom_site_type_symbol
_atom_site_fract_x
_atom_site_fract_y
_atom_site_fract_z
As1 As 0.000 0.000 0.000
Au1 Au 0.128 0.500 0.246
Au2 Au 0.738 0.000 0.476
Se1 Se 0.877 0.500 0.739

---

13.
# As4AuSe (GGA-PBE, relaxed)
# Mass density in g/cm³: 7.3
# Total magnetization in μB per formula unit: 0.00
# Total DFT energy (no corrections) in eV/atom: -3.646
# Raw formation energy in eV per atom: 0.581
data_As4AuSe
_cell_length_a 5.711
_cell_length_b 5.711
_cell_length_c 5.711
_cell_angle_alpha 60.00
_cell_angle_beta 60.00
_cell_angle_gamma 60.00
_space_group_name_H-M_alt 'P 1'
_space_group_IT_number 1
_space_group_name_Hall 'P 1'
loop_
_atom_site_label
_atom_site_type_symbol
_atom_site_fract_x
_atom_site_fract_y
_atom_site_fract_z
As1 As 0.112 0.112 0.112
As2 As 0.112 0.112 0.663
As3 As 0.112 0.663 0.112
As4 As 0.663 0.112 0.112
Au1 Au 0.750 0.750 0.750
Se1 Se 0.500 0.500 0.500

---

14.
# AsAu2Se (GGA-PBE, relaxed)
# Mass density in g/cm³: 11.5
# Total magnetization in μB per formula unit: 0.00
# Total DFT energy (no corrections) in eV/atom: -3.383
# Raw formation energy in eV per atom: 0.290
data_AsAu2Se
_cell_length_a 5.978
_cell_length_b 5.978
_cell_length_c 5.978
_cell_angle_alpha 152.95
_cell_angle_beta 124.79
_cell_angle_gamma 62.54
_space_group_name_H-M_alt 'P 1'
_space_group_IT_number 1
_space_group_name_Hall 'P 1'
loop_
_atom_site_label
_atom_site_type_symbol
_atom_site_fract_x
_atom_site_fract_y
_atom_site_fract_z
As1 As 0.000 0.000 0.000
Au1 Au 0.242 0.742 0.500
Au2 Au 0.758 0.258 0.500
Se1 Se 0.500 0.500 0.000

---

15.
# AsAu3Se (GGA-PBE, relaxed)
# Mass density in g/cm³: 10.3
# Total magnetization in μB per formula unit: 0.00
# Total DFT energy (no corrections) in eV/atom: -3.029
# Raw formation energy in eV per atom: 0.565
data_AsAu3Se
_cell_length_a 4.932
_cell_length_b 4.932
_cell_length_c 4.932
_cell_angle_alpha 90.00
_cell_angle_beta 90.00
_cell_angle_gamma 90.00
_space_group_name_H-M_alt 'P 1'
_space_group_IT_number 1
_space_group_name_Hall 'P 1'
loop_
_atom_site_label
_atom_site_type_symbol
_atom_site_fract_x
_atom_site_fract_y
_atom_site_fract_z
As1 As 0.000 0.000 0.000
Au1 Au 0.000 0.000 0.500
Au2 Au 0.000 0.500 0.000
Au3 Au 0.500 0.000 0.000
Se1 Se 0.500 0.500 0.500